Entry 1:
Entry from Alexandria: crystalline ScInAgPd at its relaxed geometry (PBE).

## Properties
Fermi-level density of states: 0.678 states/eV/atom
formation energy from the elements: -547 meV per atom

Lattice parameters (Å, degrees): 6.685 6.685 6.685 90.00 90.00 90.00
Space group F-43m (No. 216)
Unique sites:
Sc (0.000, 0.000, 0.000) [4 per cell]
In (0.000, 0.000, 0.500) [4 per cell]
Ag (0.250, 0.250, 0.750) [4 per cell]
Pd (0.250, 0.250, 0.250) [4 per cell]



Entry 2:
Entry from Alexandria: crystalline Sc4InAg2Pd at its relaxed geometry (PBE).

## Properties
Fermi-level density of states: 0.915 states/eV/atom
formation energy from the elements: -476 meV per atom

Lattice parameters (Å, degrees): 4.8669 4.8669 23.7437 90.00 90.00 120.00
Space group R-3m (No. 166, hexagonal axes)
Unique sites:
Sc (0.0000, 0.0000, 0.1174) [6 per cell]
Sc (0.0000, 0.0000, 0.3695) [6 per cell]
In (0.0000, 0.0000, 0.5000) [3 per cell]
Ag (0.0000, 0.0000, 0.2439) [6 per cell]
Pd (0.0000, 0.0000, 0.0000) [3 per cell]



Entry 3:
Entry from Alexandria: crystalline In2Si2AgPd5 at its relaxed geometry (PBE).

## Properties
Fermi-level density of states: 0.342 states/eV/atom
energy relative to the elements, uncorrected: -33 kJ per mole of atoms

Lattice parameters (Å, degrees): 9.926 9.926 3.444 90.00 90.00 90.00
Space group P4/mbm (No. 127)
Unique sites:
In (0.178, 0.322, 0.000) [4 per cell]
Si (0.130, 0.630, 0.000) [4 per cell]
Ag (0.000, 0.000, 0.000) [2 per cell]
Pd (0.000, 0.500, 0.500) [2 per cell]
Pd (0.036, 0.780, 0.500) [8 per cell]



Entry 4:
Entry from Alexandria: crystalline Sm4InAg2Pd at its relaxed geometry (PBE).

## Properties
Fermi-level density of states: 0.763 states/eV/atom
formation energy from the elements: -467 meV per atom

Lattice parameters (Å, degrees): 5.2505 5.2505 25.6173 90.00 90.00 120.00
Space group R-3m (No. 166, hexagonal axes)
Unique sites:
Sm (0.0000, 0.0000, 0.1175) [6 per cell]
Sm (0.0000, 0.0000, 0.3697) [6 per cell]
In (0.0000, 0.0000, 0.5000) [3 per cell]
Ag (0.0000, 0.0000, 0.2416) [6 per cell]
Pd (0.0000, 0.0000, 0.0000) [3 per cell]



Entry 5:
Entry from Alexandria: crystalline Sm2InAg2Pd5 at its relaxed geometry (PBE).

## Properties
Fermi-level density of states: 0.413 states/eV/atom
formation energy from the elements: -524 meV per atom

Lattice parameters (Å, degrees): 9.871 9.871 4.023 90.00 90.00 90.00
Space group P4/mbm (No. 127)
Unique sites:
Sm (0.172, 0.328, 0.000) [4 per cell]
In (0.000, 0.000, 0.000) [2 per cell]
Ag (0.127, 0.627, 0.000) [4 per cell]
Pd (0.000, 0.500, 0.500) [2 per cell]
Pd (0.058, 0.800, 0.500) [8 per cell]



Entry 6:
Entry from Alexandria: crystalline InAgSnPd at its relaxed geometry (PBE).

## Properties
Fermi-level density of states: 0.608 states/eV/atom
formation energy from the elements: -129 meV per atom

Lattice parameters (Å, degrees): 6.861 6.861 6.861 90.00 90.00 90.00
Space group F-43m (No. 216)
Unique sites:
In (0.000, 0.000, 0.000) [4 per cell]
Ag (0.250, 0.250, 0.750) [4 per cell]
Sn (0.000, 0.000, 0.500) [4 per cell]
Pd (0.250, 0.250, 0.250) [4 per cell]